KMn2Os: relaxed, PBE.

## Properties
Density ... 7.62 Mg/m³
Total DFT energy (no corrections) ... -27.751 eV/cell
Energy of formation ... 729 meV per atom
Energy above the most stable polymorph in this dataset ... 52 meV per atom

a = 2.9072 Å, b = 2.9072 Å, c = 8.7496 Å
α = 90.00°, β = 90.00°, γ = 90.00°
Space group P4mm (No. 99)
Asymmetric unit:
1 K 0.0000 0.0000 0.0000
2 Mn 0.0000 0.0000 0.5288
3 Mn 0.5000 0.5000 0.3473
4 Os 0.5000 0.5000 0.6850


K2MnOs: relaxed, PBE.

## Properties
Density ... 3.98 Mg/m³
Total DFT energy (no corrections) ... -38.958 eV/cell
Energy of formation ... 779 meV per atom
Energy above the most stable polymorph in this dataset ... 54 meV per atom

a = 6.9255 Å, b = 3.9984 Å, c = 9.9351 Å
α = 90.00°, β = 101.47°, γ = 90.00°
Space group Cm (No. 8)
Asymmetric unit:
1 K 0.0000 0.0000 0.0000
2 K 0.1540 0.0000 0.5372
3 Mn 0.4105 0.0000 0.2682
4 Os 0.2440 0.5000 0.2689


KMn2Os: relaxed, PBE.

## Properties
Density ... 8.16 Mg/m³
Total DFT energy (no corrections) ... -52.128 eV/cell
Energy of formation ... 1151 meV per atom
Energy above the most stable polymorph in this dataset ... 474 meV per atom

a = 6.5678 Å, b = 7.7868 Å, c = 2.6986 Å
α = 90.00°, β = 90.15°, γ = 90.00°
Space group C2/m (No. 12)
Asymmetric unit:
1 K 0.0000 0.0000 0.0000
2 Mn 0.2500 0.2500 0.5000
3 Os 0.0000 0.5000 0.0000


K2MnOs: relaxed, PBE.

## Properties
Density ... 6.04 Mg/m³
Total DFT energy (no corrections) ... -17.122 eV/cell
Energy of formation ... 1368 meV per atom
Energy above the most stable polymorph in this dataset ... 643 meV per atom

a = 2.7574 Å, b = 5.6786 Å, c = 5.6789 Å
α = 90.00°, β = 90.00°, γ = 90.00°
Space group Pmmm (No. 47)
Asymmetric unit:
1 K 0.0000 0.2448 0.0000
2 Mn 0.5000 0.5000 0.5000
3 Os 0.5000 0.0000 0.5000


K2MnOs: relaxed, PBE.

## Properties
Density ... 6.19 Mg/m³
Total DFT energy (no corrections) ... -34.518 eV/cell
Energy of formation ... 1334 meV per atom
Energy above the most stable polymorph in this dataset ... 609 meV per atom

a = 2.9834 Å, b = 4.9028 Å, c = 11.8638 Å
α = 90.00°, β = 90.00°, γ = 90.00°
Space group Cmmm (No. 65)
Asymmetric unit:
1 K 0.0000 0.0000 0.2359
2 Mn 0.0000 0.5000 0.5000
3 Os 0.0000 0.5000 0.0000


KMn2Os: relaxed, PBE.

## Properties
Density ... 6.96 Mg/m³
Total DFT energy (no corrections) ... -54.669 eV/cell
Energy of formation ... 833 meV per atom
Energy above the most stable polymorph in this dataset ... 156 meV per atom

a = 8.6116 Å, b = 2.7270 Å, c = 6.9078 Å
α = 90.00°, β = 93.83°, γ = 90.00°
Space group C2/m (No. 12)
Asymmetric unit:
1 K 0.0000 0.0000 0.0000
2 Mn 0.2338 0.0000 0.6302
3 Os 0.0000 0.5000 0.5000


KMnOs: relaxed, PBE.

## Properties
Density ... 7.42 Mg/m³
Total DFT energy (no corrections) ... -37.925 eV/cell
Energy of formation ... 845 meV per atom
Energy above the most stable polymorph in this dataset ... 0 meV per atom

a = 3.0188 Å, b = 3.0188 Å, c = 13.9615 Å
α = 90.00°, β = 90.00°, γ = 90.00°
Space group I4mm (No. 107)
Asymmetric unit:
1 K 0.0000 0.0000 0.0000
2 Mn 0.0000 0.0000 0.7187
3 Os 0.0000 0.0000 0.3059


K2MnOs: relaxed, PBE.

## Properties
Density ... 5.79 Mg/m³
Total DFT energy (no corrections) ... -66.646 eV/cell
Energy of formation ... 1483 meV per atom
Energy above the most stable polymorph in this dataset ... 758 meV per atom

a = 7.1847 Å, b = 7.1847 Å, c = 7.1847 Å
α = 90.00°, β = 90.00°, γ = 90.00°
Space group F-43m (No. 216)
Asymmetric unit:
1 K 0.0000 0.0000 0.0000
2 K 0.2500 0.2500 0.2500
3 Mn 0.0000 0.0000 0.5000
4 Os 0.2500 0.2500 0.7500


KMn2Os: relaxed, PBE.

## Properties
Density ... 6.88 Mg/m³
Total DFT energy (no corrections) ... -27.960 eV/cell
Energy of formation ... 677 meV per atom
Energy above the most stable polymorph in this dataset ... 0 meV per atom

a = 3.0574 Å, b = 3.0732 Å, c = 8.7165 Å
α = 90.00°, β = 90.00°, γ = 90.00°
Space group Pmmm (No. 47)
Asymmetric unit:
1 K 0.0000 0.0000 0.0000
2 Mn 0.5000 0.5000 0.3368
3 Os 0.0000 0.0000 0.5000


KMn3Os: relaxed, PBE.

## Properties
Density ... 5.43 Mg/m³
Total DFT energy (no corrections) ... -34.811 eV/cell
Energy of formation ... 1005 meV per atom
Energy above the most stable polymorph in this dataset ... 0 meV per atom

a = 4.9403 Å, b = 4.9403 Å, c = 4.9403 Å
α = 90.00°, β = 90.00°, γ = 90.00°
Space group Pm-3m (No. 221)
Asymmetric unit:
1 K 0.0000 0.0000 0.0000
2 Mn 0.0000 0.5000 0.5000
3 Os 0.5000 0.5000 0.5000


KMnOs: relaxed, PBE.

## Properties
Density ... 9.07 Mg/m³
Total DFT energy (no corrections) ... -18.358 eV/cell
Energy of formation ... 1046 meV per atom
Energy above the most stable polymorph in this dataset ... 201 meV per atom

a = 2.7653 Å, b = 2.7653 Å, c = 7.8592 Å
α = 90.00°, β = 90.00°, γ = 120.00°
Space group P3m1 (No. 156)
Asymmetric unit:
1 K 0.0000 0.0000 0.0000
2 Mn 0.6667 0.3333 0.3786
3 Os 0.3333 0.6667 0.6182


K2MnOs: relaxed, PBE.

## Properties
Density ... 4.52 Mg/m³
Total DFT energy (no corrections) ... -38.605 eV/cell
Energy of formation ... 823 meV per atom
Energy above the most stable polymorph in this dataset ... 98 meV per atom

a = 20.4758 Å, b = 2.8784 Å, c = 4.0905 Å
α = 90.00°, β = 100.03°, γ = 90.00°
Space group C2/m (No. 12)
Asymmetric unit:
1 K 0.1475 0.0000 0.1589
2 Mn 0.0000 0.5000 0.0000
3 Os 0.0000 0.0000 0.5000